(1)
Compound: NdDyCdNi
Source: the Alexandria database
Functional: PBE-GGA
Structure: relaxed

abc: 5.1413 5.1413 5.1413
angles: 60.00 60.00 60.00
With the nearest neighbours (Å) after each atom.
Element x y z (fractional)
Ni 0.7500 0.7500 0.7500  4 Dy 3.15, 4 Nd 3.15
Cd 0.2500 0.2500 0.2500  4 Dy 3.15, 4 Nd 3.15
Dy 0.5000 0.5000 0.5000  4 Ni 3.15, 4 Cd 3.15
Nd 0.0000 0.0000 0.0000  4 Cd 3.15, 4 Ni 3.15

Space-group type = F-43m, No. 216
E = -4.232 eV per atom

***

(2)
Compound: Nd2DyCdO
Source: the Alexandria database
Functional: PBE-GGA
Structure: relaxed

abc: 4.7548 5.0126 5.0126
angles: 90.00 90.00 90.00
With the nearest neighbours (Å) after each atom.
Element x y z (fractional)
Nd 0.0000 0.0000 0.5000  2 O 2.51
Cd 0.5000 0.5000 0.5000  8 Nd 3.45, 4 Dy 3.54
Dy 0.5000 0.0000 0.0000  2 O 2.38
Nd 0.0000 0.5000 0.0000  2 O 2.51
O 0.0000 0.0000 0.0000  2 Dy 2.38, 4 Nd 2.51

Space-group type = P4/mmm, No. 123
Raw formation energy = -1.289 eV/atom

***

(3)
Compound: NdDyCdOs
Source: the Alexandria database
Functional: PBE-GGA
Structure: relaxed

abc: 5.0995 5.0995 5.0995
angles: 60.00 60.00 60.00
With the nearest neighbours (Å) after each atom.
Element x y z (fractional)
Os 0.7500 0.7500 0.7500  4 Dy 3.12, 4 Nd 3.12
Nd 0.5000 0.5000 0.5000  4 Cd 3.12, 4 Os 3.12
Cd 0.2500 0.2500 0.2500  4 Dy 3.12, 4 Nd 3.12
Dy 0.0000 0.0000 0.0000  4 Os 3.12, 4 Cd 3.12

Space-group type = F-43m, No. 216
E = -5.500 eV per atom